1.
This record from Alexandria describes a geometry-optimized Y2Cu2Bi structure. The functional is PBE.

abc: 4.954 4.954 10.068
angles: 90.00 90.00 90.00
Space group I4/mmm (No. 139)
Asymmetric unit:
Y  0.000  0.500  0.250 x4
Cu  0.000  0.000  0.114 x4
Bi  0.000  0.000  0.500 x2

Calculated values
Distance to the lowest polymorph of the same formula in meV/atom: 313

2.
This record from Alexandria describes a geometry-optimized TmScCoRu structure. The functional is PBE.

abc: 6.491 6.491 6.491
angles: 90.00 90.00 90.00
Space group F-43m (No. 216)
Asymmetric unit:
Tm  0.000  0.000  0.000 x4
Sc  0.000  0.000  0.500 x4
Co  0.250  0.250  0.750 x4
Ru  0.250  0.250  0.250 x4

One value per record, in order, for formation enthalpy at 0 K: -122.1 -392.0 meV per atom.
One value per record, in order, for DFT total energy: -5.122 -7.188 eV per atom.